Record 1
Entry from the Alexandria database: an optimized crystal structure of NpInNi2O6 (PBE with a Hubbard U).

Properties
SG = No. 99
Density of states at the Fermi level = 0.7337 states/eV per atom

Unit cell a=4.0933 b=6.0812 c=6.0812 alpha=90.00 beta=90.00 gamma=90.00
Each line ends with the local moment (μB).
Atoms (fractional coordinates):
O 0.7449 0.7611 0.7611  0.08
O 0.7449 0.2389 0.2389  0.08
O 0.7449 0.2389 0.7611  0.08
O 0.7449 0.7611 0.2389  0.08
O 0.2414 0.5000 0.5000  0.10
O 0.2443 0.0000 0.0000  0.05
In 0.7409 0.5000 0.5000  0.00
Np 0.7441 0.0000 0.0000  -1.03
Ni 0.7482 0.5000 0.0000  1.29
Ni 0.7482 0.0000 0.5000  1.29

Record 2
Entry from the Alexandria database: an optimized crystal structure of NpInNiO6 (PBE with a Hubbard U).

Properties
SG = No. 163

Unit cell a=5.2727 b=5.2727 c=9.4799 alpha=90.00 beta=90.00 gamma=120.00
Each line ends with the local moment (μB).
Atoms (fractional coordinates):
O 0.6527 0.9922 0.8669  0.03
O 0.3473 0.3395 0.3669  0.03
O 0.3395 0.9922 0.6331  0.03
O 0.0078 0.6605 0.8669  0.03
O 0.6527 0.6605 0.6331  0.03
O 0.6605 0.0078 0.3669  0.03
O 0.9922 0.6527 0.3669  0.03
O 0.3395 0.3473 0.8669  0.03
O 0.6605 0.6527 0.1331  0.03
O 0.9922 0.3395 0.1331  0.03
O 0.3473 0.0078 0.1331  0.03
O 0.0078 0.3473 0.6331  0.03
Np 0.3333 0.6667 0.7500  0.04
Np 0.6667 0.3333 0.2500  0.04
Ni 0.3333 0.6667 0.2500  1.74
Ni 0.6667 0.3333 0.7500  1.74
In 0.0000 0.0000 0.0000  0.01
In 0.0000 0.0000 0.5000  0.01

| no. | final energy (eV per cell) | calculated volume (Å³ per cell) |
| --- | --- | --- |
| 1 | -64.42 | 151.4 |
| 2 | -130.04 | 228.2 |